Record 1
# YPd6Pt23

YPd6Pt23 after structural relaxation (PBE, the Alexandria database).

## Properties
The calculation puts the energy at -6.005 eV/atom.

Cell: 9.6219 9.6219 9.6219 Å, 131.31 131.31 71.32°
Closest atoms and distances in Å follow each position.
Atoms (fractional coordinates):
Y (0.0000, 0.0000, 0.0000)  4 Pd 2.83, 8 Pt 2.92
Pd (0.2475, 0.2475, 0.0000)  12 Pt 2.76-2.80
Pd (0.2521, 0.2521, 0.5042)  11 Pt 2.78-2.86, 1 Y 2.83
Pd (0.2521, 0.7479, 0.0000)  11 Pt 2.78-2.86, 1 Y 2.83
Pd (0.7479, 0.2521, 0.0000)  11 Pt 2.78-2.86, 1 Y 2.83
Pd (0.7479, 0.7479, 0.4958)  11 Pt 2.78-2.86, 1 Y 2.83
Pd (0.7525, 0.7525, 0.0000)  12 Pt 2.76-2.80
Pt (0.0000, 0.0000, 0.5000)  8 Pt 2.72-2.75, 2 Pd 2.80
Pt (0.0000, 0.5000, 0.0000)  8 Pt 2.72-2.75, 2 Pd 2.80
Pt (0.0000, 0.5000, 0.5000)  8 Pt 2.79-2.82, 4 Pd 2.80
Pt (0.1210, 0.3718, 0.7492)  8 Pt 2.73-2.82, 3 Pd 2.78-2.81
Pt (0.1309, 0.3929, 0.2620)  7 Pt 2.72-2.94, 3 Pd 2.76-2.86, 1 Y 2.92
Pt (0.1310, 0.8691, 0.2620)  7 Pt 2.72-2.94, 3 Pd 2.76-2.86, 1 Y 2.92
Pt (0.1309, 0.8690, 0.7380)  7 Pt 2.72-2.94, 3 Pd 2.76-2.86, 1 Y 2.92
Pt (0.3718, 0.1210, 0.7492)  8 Pt 2.73-2.82, 3 Pd 2.78-2.81
Pt (0.3718, 0.6226, 0.2508)  8 Pt 2.73-2.82, 3 Pd 2.78-2.81
Pt (0.3774, 0.6282, 0.7492)  8 Pt 2.73-2.82, 3 Pd 2.78-2.81
Pt (0.3929, 0.1309, 0.2620)  7 Pt 2.72-2.94, 3 Pd 2.76-2.86, 1 Y 2.92
Pt (0.5000, 0.0000, 0.0000)  8 Pt 2.72-2.75, 2 Pd 2.80
Pt (0.5000, 0.0000, 0.5000)  8 Pt 2.79-2.82, 4 Pd 2.80
Pt (0.5000, 0.5000, 0.0000)  4 Pd 2.78, 8 Pt 2.82
Pt (0.5000, 0.5000, 0.5000)  8 Pt 2.72-2.75, 2 Pd 2.80
Pt (0.6071, 0.8691, 0.7380)  7 Pt 2.72-2.94, 3 Pd 2.76-2.86, 1 Y 2.92
Pt (0.6226, 0.3718, 0.2508)  8 Pt 2.73-2.82, 3 Pd 2.78-2.81
Pt (0.6282, 0.3774, 0.7492)  8 Pt 2.73-2.82, 3 Pd 2.78-2.81
Pt (0.6282, 0.8790, 0.2508)  8 Pt 2.73-2.82, 3 Pd 2.78-2.81
Pt (0.8691, 0.1310, 0.2620)  7 Pt 2.72-2.94, 3 Pd 2.76-2.86, 1 Y 2.92
Pt (0.8690, 0.1309, 0.7380)  7 Pt 2.72-2.94, 3 Pd 2.76-2.86, 1 Y 2.92
Pt (0.8691, 0.6071, 0.7380)  7 Pt 2.72-2.94, 3 Pd 2.76-2.86, 1 Y 2.92
Pt (0.8790, 0.6282, 0.2508)  8 Pt 2.73-2.82, 3 Pd 2.78-2.81

---

Record 2
# K2CoPt

K2CoPt after structural relaxation (PBE, the Alexandria database).

## Properties
The energy above the most stable polymorph in this dataset is 186 meV per atom.

Cell: 5.9375 5.9375 5.9375 Å, 137.64 123.70 72.92°
Closest atoms and distances in Å follow each position.
Atoms (fractional coordinates):
K (0.0000, 0.0000, 0.0000)  4 K 3.36-3.62, 4 Pt 3.40-3.56, 5 Co 3.67-3.77
K (0.6951, 0.1951, 0.5000)  4 K 3.36-3.62, 4 Co 3.39-3.58, 4 Pt 3.66
Co (0.3945, 0.3945, 0.0000)  2 Pt 2.34
Pt (0.2978, 0.7978, 0.5000)  2 Co 2.34

---

Record 3
# MgGa2Ag

MgGa2Ag after structural relaxation (PBE, the Alexandria database).

## Properties
The calculation puts the energy at -2.727 eV/atom.

Cell: 4.1056 4.1056 4.2974 Å, 90.00 90.00 90.00°
Closest atoms and distances in Å follow each position.
Atoms (fractional coordinates):
Mg (0.0000, 0.0000, 0.0000)  4 Ag 2.90, 8 Ga 2.97
Ga (0.0000, 0.5000, 0.5000)  4 Ga 2.90, 4 Mg 2.97, 4 Ag 2.97
Ga (0.5000, 0.0000, 0.5000)  4 Ga 2.90, 4 Mg 2.97, 4 Ag 2.97
Ag (0.5000, 0.5000, 0.0000)  4 Mg 2.90, 8 Ga 2.97

---

Record 4
# SbOsRu2

SbOsRu2 after structural relaxation (PBE, the Alexandria database).

## Properties
The calculation puts the uncorrected formation energy at 0.249 eV per atom.

Cell: 4.8067 4.8067 4.8067 Å, 131.16 131.16 71.56°
Closest atoms and distances in Å follow each position.
Atoms (fractional coordinates):
Sb (0.0000, 0.0000, 0.0000)  8 Ru 2.78, 4 Os 2.81
Os (0.5000, 0.5000, 0.0000)  8 Ru 2.78, 4 Sb 2.81
Ru (0.2500, 0.7500, 0.5000)  4 Os 2.78, 4 Sb 2.78, 4 Ru 2.81
Ru (0.7500, 0.2500, 0.5000)  4 Os 2.78, 4 Sb 2.78, 4 Ru 2.81

---

Record 5
# CaSi4

CaSi4 after structural relaxation (PBE, the Alexandria database).

## Properties
The calculation puts the uncorrected formation energy at -0.073 eV per atom. The energy above the most stable polymorph in this dataset is 0 meV per atom.

Cell: 5.4832 5.4832 5.4832 Å, 130.31 130.31 72.91°
Closest atoms and distances in Å follow each position.
Atoms (fractional coordinates):
Ca (0.0000, 0.0000, 0.0000)  18 Si 3.16-3.49
Si (0.2500, 0.7500, 0.5000)  4 Si 2.50
Si (0.3587, 0.3587, 0.0000)  5 Si 2.49-2.50
Si (0.6413, 0.6413, 0.0000)  5 Si 2.49-2.50
Si (0.7500, 0.2500, 0.5000)  4 Si 2.50

---

Record 6
# Na2SbF8

Na2SbF8 after structural relaxation (PBE, the Alexandria database).

## Properties
The calculation puts the uncorrected formation energy at -2.295 eV per atom.

Cell: 6.1793 6.1793 4.9156 Å, 105.48 105.48 75.24°
Closest atoms and distances in Å follow each position.
Atoms (fractional coordinates):
Na (0.1736, 0.1736, 0.3644)  3 F 2.22-2.32
Na (0.8264, 0.8264, 0.6356)  3 F 2.22-2.32
Sb (0.5000, 0.5000, 0.0000)  6 F 1.91-1.93
F (0.0640, 0.0640, 0.8720)  1 F 2.05, 2 Na 2.22-2.29
F (0.1988, 0.5466, 0.7545)  1 Sb 1.93
F (0.3810, 0.3810, 0.2374)  1 Sb 1.91
F (0.4534, 0.8012, 0.2455)  1 Sb 1.93
F (0.5466, 0.1988, 0.7545)  1 Sb 1.93
F (0.6190, 0.6190, 0.7626)  1 Sb 1.91
F (0.8012, 0.4534, 0.2455)  1 Sb 1.93
F (0.9360, 0.9360, 0.1280)  1 F 2.05, 2 Na 2.22-2.29

---

What did the second record say?
# K2CoPt

K2CoPt after structural relaxation (PBE, the Alexandria database).

## Properties
The energy above the most stable polymorph in this dataset is 186 meV per atom.

Cell: 5.9375 5.9375 5.9375 Å, 137.64 123.70 72.92°
Closest atoms and distances in Å follow each position.
Atoms (fractional coordinates):
K (0.0000, 0.0000, 0.0000)  4 K 3.36-3.62, 4 Pt 3.40-3.56, 5 Co 3.67-3.77
K (0.6951, 0.1951, 0.5000)  4 K 3.36-3.62, 4 Co 3.39-3.58, 4 Pt 3.66
Co (0.3945, 0.3945, 0.0000)  2 Pt 2.34
Pt (0.2978, 0.7978, 0.5000)  2 Co 2.34

---

Question: Number 2 is which compound?
Answer: K2CoPt

---

Question: Which formula does entry 5 have?
Answer: CaSi4